DFT (PBEsol) results for a relaxed La3P crystal.

a b c (Å): 6.122 7.665 9.491
angles (deg): 90.00 90.00 90.00
Element x y z (fractional)
1 P 0.595 0.898 0.750
2 P 0.405 0.102 0.250
3 P 0.905 0.398 0.750
4 P 0.095 0.602 0.250
5 La 0.627 0.461 0.250
6 La 0.378 0.805 0.043
7 La 0.878 0.695 0.543
8 La 0.622 0.195 0.543
9 La 0.873 0.961 0.250
10 La 0.122 0.305 0.043
11 La 0.378 0.805 0.457
12 La 0.622 0.195 0.957
13 La 0.127 0.039 0.750
14 La 0.878 0.695 0.957
15 La 0.373 0.539 0.750
16 La 0.122 0.305 0.457

Output
Distance to the lowest polymorph of the same formula ... 0.000 eV/f.u.
Raw total energy ... -6.23 eV per atom
Formation energy from the elements ... -3.1 eV/f.u.
DOS(E_F) ... 14.19 states/eV/cell

DFT (PBEsol) results for a relaxed LaP7 crystal.

a b c (Å): 6.932 7.832 11.500
angles (deg): 90.00 90.00 92.99
Element x y z (fractional)
1 P 0.248 0.545 0.836
2 P 0.843 0.003 0.487
3 P 0.343 0.503 0.013
4 P 0.748 0.045 0.664
5 P 0.374 0.738 0.116
6 P 0.626 0.262 0.884
7 P 0.752 0.455 0.164
8 P 0.965 0.248 0.719
9 P 0.099 0.406 0.468
10 P 0.901 0.594 0.532
11 P 0.874 0.238 0.384
12 P 0.417 0.675 0.597
13 P 0.583 0.325 0.403
14 P 0.252 0.955 0.336
15 P 0.465 0.748 0.781
16 P 0.917 0.175 0.903
17 P 0.218 0.528 0.310
18 P 0.035 0.752 0.281
19 P 0.535 0.252 0.219
20 P 0.718 0.028 0.190
21 P 0.157 0.997 0.513
22 P 0.782 0.472 0.690
23 P 0.599 0.906 0.032
24 P 0.401 0.094 0.968
25 P 0.126 0.762 0.616
26 P 0.282 0.972 0.810
27 P 0.657 0.497 0.987
28 P 0.083 0.825 0.097
29 La 0.397 0.282 0.651
30 La 0.603 0.718 0.349
31 La 0.897 0.782 0.849
32 La 0.103 0.218 0.151

Output
Raw total energy ... -6.18 eV per atom
Formation energy from the elements ... -3.6 eV/f.u.

DFT (PBEsol) results for a relaxed LaP crystal.

a b c (Å): 3.957 5.793 7.656
angles (deg): 110.78 90.00 109.97
Element x y z (fractional)
1 La 0.250 0.499 0.644
2 La 0.081 0.162 0.006
3 La 0.401 0.803 0.301
4 P 0.968 0.937 0.606
5 P 0.665 0.331 0.311
6 P 0.801 0.602 0.965

Output
Raw total energy ... -6.87 eV per atom
Formation energy from the elements ... -2.6 eV/f.u.
DOS(E_F) ... 0.99 states/eV/cell

DFT (PBEsol) results for a relaxed LaP3 crystal.

a b c (Å): 5.342 5.342 5.342
angles (deg): 90.00 90.00 90.00
Element x y z (fractional)
1 P 0.000 0.250 0.500
2 P 0.750 0.500 0.000
3 P 0.250 0.500 0.000
4 P 0.500 0.000 0.250
5 P 0.000 0.750 0.500
6 P 0.500 0.000 0.750
7 La 0.500 0.500 0.500
8 La 0.000 0.000 0.000

Output
Raw total energy ... -5.96 eV per atom
Formation energy from the elements ... -1.1 eV/f.u.
DOS(E_F) ... 8.11 states/eV/cell

DFT (PBEsol) results for a relaxed La2P crystal.

a b c (Å): 4.022 4.022 7.031
angles (deg): 90.00 90.00 120.00
Element x y z (fractional)
1 La 0.667 0.333 0.236
2 La 0.333 0.667 0.764
3 P 0.000 0.000 0.000

Output
Raw total energy ... -6.43 eV per atom
Formation energy from the elements ... -2.8 eV/f.u.
DOS(E_F) ... 3.79 states/eV/cell

DFT (PBEsol) results for a relaxed La2P crystal.

a b c (Å): 4.009 6.982 6.132
angles (deg): 90.00 90.00 106.68
Element x y z (fractional)
1 P 0.867 0.735 0.972
2 P 0.133 0.265 0.472
3 La 0.209 0.419 0.972
4 La 0.791 0.581 0.472
5 La 0.500 0.000 0.222
6 La 0.500 0.000 0.722

Output
Raw total energy ... -6.48 eV per atom
Formation energy from the elements ... -2.9 eV/f.u.
DOS(E_F) ... 7.58 states/eV/cell

DFT (PBEsol) results for a relaxed La5P3 crystal.

a b c (Å): 4.540 6.924 6.924
angles (deg): 110.11 90.00 90.00
Element x y z (fractional)
1 La 0.500 0.278 0.278
2 La 0.000 0.000 0.500
3 La 0.000 0.000 0.000
4 La 0.500 0.722 0.722
5 La 0.000 0.500 0.000
6 P 0.500 0.184 0.816
7 P 0.000 0.500 0.500
8 P 0.500 0.816 0.184

Output
Distance to the lowest polymorph of the same formula ... 1.099 eV/f.u.
Raw total energy ... -6.50 eV per atom
Formation energy from the elements ... -7.9 eV/f.u.
DOS(E_F) ... 7.02 states/eV/cell

DFT (PBEsol) results for a relaxed La5P3 crystal.

a b c (Å): 6.250 8.749 8.749
angles (deg): 120.00 90.00 90.00
Element x y z (fractional)
1 P 0.250 0.621 0.621
2 P 0.750 0.000 0.621
3 P 0.250 0.379 0.000
4 P 0.250 0.000 0.379
5 P 0.750 0.379 0.379
6 P 0.750 0.621 0.000
7 La 0.750 0.737 0.737
8 La 0.500 0.333 0.667
9 La 0.000 0.333 0.667
10 La 0.750 0.263 0.000
11 La 0.250 0.263 0.263
12 La 0.750 0.000 0.263
13 La 0.000 0.667 0.333
14 La 0.250 0.000 0.737
15 La 0.500 0.667 0.333
16 La 0.250 0.737 0.000

Output
Distance to the lowest polymorph of the same formula ... 0.000 eV/f.u.
Raw total energy ... -6.64 eV per atom
Formation energy from the elements ... -9.0 eV/f.u.
DOS(E_F) ... 17.70 states/eV/cell

DFT (PBEsol) results for a relaxed LaP3 crystal.

a b c (Å): 4.240 4.325 4.325
angles (deg): 90.00 90.00 90.00
Element x y z (fractional)
1 P 0.710 0.500 0.500
2 P 0.485 0.500 0.000
3 P 0.485 0.000 0.500
4 La 0.988 0.000 0.000

Output
Raw total energy ... -6.32 eV per atom
Formation energy from the elements ... -2.6 eV/f.u.
DOS(E_F) ... 2.10 states/eV/cell

DFT (PBEsol) results for a relaxed LaP2 crystal.

a b c (Å): 8.718 9.266 8.804
angles (deg): 118.26 90.20 117.95
Element x y z (fractional)
1 La 0.058 0.616 0.057
2 La 0.836 0.913 0.983
3 La 0.422 0.087 0.070
4 La 0.612 0.079 0.670
5 La 0.376 0.454 0.679
6 La 0.422 0.546 0.225
7 La 0.942 0.384 0.441
8 La 0.033 0.921 0.591
9 P 0.183 0.231 0.278
10 P 0.665 0.492 0.411
11 P 0.673 0.508 0.919
12 P 0.453 0.769 0.047
13 P 0.245 0.064 0.351
14 P 0.283 0.746 0.682
15 P 0.037 0.254 0.936
16 P 0.800 0.743 0.210
17 P 0.647 0.742 0.604
18 P 0.062 0.756 0.805
19 P 0.806 0.244 0.049
20 P 0.232 0.734 0.429
21 P 0.681 0.936 0.287
22 P 0.998 0.266 0.695
23 P 0.406 0.258 0.863
24 P 0.557 0.257 0.467

Output
Raw total energy ... -6.75 eV per atom
Formation energy from the elements ... -3.3 eV/f.u.

DFT (PBEsol) results for a relaxed LaP crystal.

a b c (Å): 4.225 4.225 4.225
angles (deg): 60.00 60.00 60.00
Element x y z (fractional)
1 La 0.500 0.500 0.500
2 P 0.000 0.000 0.000

Output
Raw total energy ... -7.11 eV per atom
Formation energy from the elements ... -3.1 eV/f.u.
DOS(E_F) ... 0.25 states/eV/cell

DFT (PBEsol) results for a relaxed LaP crystal.

a b c (Å): 3.725 4.074 4.074
angles (deg): 120.00 90.00 90.00
Element x y z (fractional)
1 P 0.500 0.667 0.333
2 La 0.000 0.000 0.000

Output
Raw total energy ... -6.84 eV per atom
Formation energy from the elements ... -2.5 eV/f.u.
DOS(E_F) ... 0.14 states/eV/cell

> Which of these has the lowest formation energy from the elements?

number 8

> Which formula does entry 4 have?

LaP3

> Which of these has the lowest raw total energy?

number 11

> What is the formula in the twelfth record?

LaP